No. 1
CdSe3 | PBE | optimized geometry

Unit cell a=4.2238 b=4.1921 c=5.5740 alpha=90.00 beta=90.00 gamma=90.00
Positions (direct):
Cd: 0.0000 0.0000 0.0000
Se: 0.5000 0.5000 0.7880
Se: 0.0000 0.0000 0.5000
Se: 0.5000 0.5000 0.2120

Properties
Uncorrected energy (eV/atom): -2.583
DOS(E_F) (states/eV per atom): 0.83
Formation energy (no corrections) (kJ per mole of atoms): 25.0
Space group: Pmmm, No. 47

***

No. 2
Ba2PdAu2 | PBE | optimized geometry

Unit cell a=4.6127 b=6.4496 c=11.3652 alpha=84.80 beta=78.29 gamma=69.05
Positions (direct):
Ba: 0.6945 0.2458 0.3653
Ba: 0.9144 0.2822 0.8891
Ba: 0.3055 0.7542 0.6347
Ba: 0.0856 0.7178 0.1109
Pd: 0.5765 0.1558 0.6912
Pd: 0.4235 0.8442 0.3088
Au: 0.0401 0.3310 0.5889
Au: 0.6314 0.8531 0.8841
Au: 0.9599 0.6690 0.4111
Au: 0.3686 0.1469 0.1159

Properties
Distance to the lowest polymorph of the same formula (kJ/mol of formula units): 0
Uncorrected energy (eV/atom): -3.793
DFT formation energy (eV per atom): -0.675
DOS(E_F) (states/eV per atom): 0.47
Space group: C2/m, No. 12

***

No. 3
PrNd3Ho7 | PBE | optimized geometry

Unit cell a=8.7241 b=7.0822 c=7.0822 alpha=120.00 beta=90.00 gamma=90.00
Positions (direct):
Pr: 0.4448 0.3333 0.6667
Nd: 0.7847 0.5005 0.4995
Nd: 0.7847 0.5005 0.0010
Nd: 0.7847 0.9990 0.4995
Ho: 0.1198 0.1669 0.8331
Ho: 0.1198 0.1669 0.3339
Ho: 0.1228 0.6667 0.3333
Ho: 0.4447 0.8325 0.1675
Ho: 0.4447 0.3351 0.1675
Ho: 0.4447 0.8325 0.6649
Ho: 0.1198 0.6661 0.8331

Properties
Distance to the lowest polymorph of the same formula (kJ/mol of formula units): 63
Uncorrected energy (eV/atom): -4.468
DFT formation energy (eV per atom): 0.180
DOS(E_F) (states/eV per atom): 1.52
Space group: P3m1, No. 156

***

No. 4
Na2TiCd | PBE | optimized geometry

Unit cell a=8.5471 b=8.5471 c=6.7347 alpha=50.61 beta=50.61 gamma=90.00
Site moments in Bohr magnetons follow the coordinates.
Positions (direct):
Na: 0.6442 0.1250 0.2500  0.01
Na: 0.1058 0.6250 0.2500  0.01
Na: 0.3750 0.3558 0.7500  0.01
Na: 0.8750 0.8942 0.7500  0.01
Ti: 0.5000 0.5000 0.0000  1.83
Ti: 0.2500 0.7500 0.5000  1.83
Cd: 0.0000 0.0000 0.0000  0.03
Cd: 0.7500 0.2500 0.5000  0.03

Properties
Uncorrected energy (eV/atom): -2.219
DFT formation energy (eV per atom): 0.643
DOS(E_F) (states/eV per atom): 1.01
Space group: I-42d, No. 122

***

No. 5
Sc6SnRu5 | PBE | optimized geometry

Unit cell a=4.5829 b=6.6336 c=7.9516 alpha=114.65 beta=106.75 gamma=90.00
Positions (direct):
Sc: 0.8258 0.5637 0.6515
Sc: 0.8258 0.0878 0.6515
Sc: 0.5000 0.7260 0.0000
Sc: 0.5000 0.2740 0.0000
Sc: 0.1742 0.9122 0.3485
Sc: 0.1742 0.4363 0.3485
Ru: 0.6609 0.1609 0.3218
Ru: 0.3318 0.3318 0.6636
Ru: 0.0000 0.5000 0.0000
Ru: 0.6682 0.6682 0.3364
Ru: 0.3391 0.8391 0.6782
Sn: 0.0000 0.0000 0.0000

Properties
Uncorrected energy (eV/atom): -7.965
DFT formation energy (eV per atom): -0.600
DOS(E_F) (states/eV per atom): 0.38
Space group: Immm, No. 71

***

No. 6
Cd7Hg3 | PBE | optimized geometry

Unit cell a=4.4798 b=6.3257 c=8.6731 alpha=101.93 beta=104.97 gamma=90.00
Positions (direct):
Cd: 0.0000 0.5000 0.0000
Cd: 0.7986 0.8880 0.5972
Cd: 0.2014 0.1120 0.4028
Cd: 0.6012 0.3060 0.2024
Cd: 0.3988 0.6940 0.7976
Cd: 0.5991 0.8077 0.1982
Cd: 0.4009 0.1923 0.8018
Hg: 0.0000 0.0000 0.0000
Hg: 0.8044 0.3886 0.6088
Hg: 0.1956 0.6114 0.3912

Properties
Uncorrected energy (eV/atom): -0.716
DFT formation energy (eV per atom): 0.015
DOS(E_F) (states/eV per atom): 0.32
Space group: C2/m, No. 12

***

No. 7
PmPr6Er3 | PBE | optimized geometry

Unit cell a=10.0030 b=10.0030 c=7.0517 alpha=44.83 beta=44.83 gamma=60.00
Positions (direct):
Pm: 0.9001 0.9001 0.2997
Pr: 0.8998 0.5703 0.3001
Pr: 0.2298 0.8998 0.3001
Pr: 0.5703 0.2298 0.3001
Pr: 0.0710 0.3999 0.8003
Pr: 0.7288 0.0710 0.8003
Pr: 0.3999 0.7288 0.8003
Er: 0.4001 0.4001 0.7998
Er: 0.6473 0.6473 0.0581
Er: 0.1529 0.1529 0.5413

Properties
Distance to the lowest polymorph of the same formula (kJ/mol of formula units): 77
Uncorrected energy (eV/atom): -4.492
DFT formation energy (eV per atom): 0.219
DOS(E_F) (states/eV per atom): 1.89
Space group: R32, No. 155

***

No. 8
Na3Cd2S2I3 | PBE | optimized geometry

Unit cell a=4.6221 b=4.6221 c=14.9855 alpha=98.87 beta=98.87 gamma=90.00
Positions (direct):
Na: 0.8919 0.8919 0.7839
Na: 0.5000 0.5000 0.0000
Na: 0.1081 0.1081 0.2161
Cd: 0.7500 0.2500 0.5000
Cd: 0.2500 0.7500 0.5000
S: 0.7925 0.7925 0.5850
S: 0.2075 0.2075 0.4150
I: 0.6132 0.6132 0.2264
I: 0.3868 0.3868 0.7736
I: 0.0000 0.0000 0.0000

Properties
Uncorrected energy (eV/atom): -2.791
DOS(E_F) (states/eV per atom): 0.00
Formation energy (no corrections) (kJ per mole of atoms): -88.9
Space group: I4/mmm, No. 139